1.
An optimized crystal structure of TbEuZr. Source: the Alexandria database, functional PBE.

Calculated values
Symmetry = P3m1

POSCAR file:
```
TbEuZr
1.0
3.4651 0.0000 0.0000
-1.7325 3.0009 0.0000
0.0000 0.0000 8.6921
Zr Tb Eu
1 1 1
Direct
0.6667 0.3333 0.3441
0.3333 0.6667 0.6390
0.0000 0.0000 0.0169
```

***

2.
An optimized crystal structure of TbEuZr. Source: the Alexandria database, functional PBE.

Calculated values
Symmetry = I4mm

POSCAR file:
```
TbEuZr
1.0
3.4345 0.0000 0.0000
0.0000 3.4345 0.0000
-1.7173 -1.7173 7.7040
Tb Zr Eu
1 1 1
Direct
0.6834 0.6834 0.3668
0.3251 0.3251 0.6502
0.9915 0.9915 0.9830
```

***

Which of them is the most stable, and which is the least stable? 2 and 1, in that order.